Run a
Entry from the Alexandria database: a relaxed structure of TlTePt2 (PBE-GGA).

Computed properties:
The total moment comes out at 0.0 μB per cell.

Cell lengths 4.8548, 4.8548, 4.8548 Å; angles 60.00, 60.00, 60.00 degrees
Last column: nearest neighbours and their distance in Å.
Sites, in units of the cell vectors:
Pt1 0.7500 0.7500 0.7500  4 Tl 2.97, 4 Te 2.97
Pt2 0.2500 0.2500 0.2500  4 Tl 2.97, 4 Te 2.97
Tl1 0.5000 0.5000 0.5000  8 Pt 2.97
Te1 0.0000 0.0000 0.0000  8 Pt 2.97

Run b
Entry from the Alexandria database: a relaxed structure of TlTePt2 (PBE-GGA).

Computed properties:
The total moment comes out at 0.0 μB per cell.

Cell lengths 3.8936, 3.0977, 6.9564 Å; angles 90.00, 90.00, 90.00 degrees
Last column: nearest neighbours and their distance in Å.
Sites, in units of the cell vectors:
Te1 0.5000 0.2500 0.2500  4 Pt 2.78, 2 Te 3.10
Pt1 0.0000 0.2503 0.5361  2 Te 2.78, 4 Tl 2.90, 3 Pt 2.98-3.10
Pt2 0.0000 0.2497 0.9639  2 Te 2.78, 4 Tl 2.90, 3 Pt 2.98-3.10
Tl1 0.5000 0.7500 0.7500  8 Pt 2.90, 2 Tl 3.10

Run c
Entry from the Alexandria database: a relaxed structure of TlTePt2 (PBE-GGA).

Computed properties:
The total moment comes out at 0.0 μB per cell.

Cell lengths 6.2365, 8.2919, 2.9443 Å; angles 110.65, 61.93, 138.42 degrees
Last column: nearest neighbours and their distance in Å.
Sites, in units of the cell vectors:
Tl1 0.5000 0.0000 0.5000  4 Pt 2.75, 2 Tl 2.94
Pt1 0.0000 0.0000 0.0000  2 Tl 2.75, 2 Te 2.75, 2 Pt 2.94
Pt2 0.0000 0.5000 0.5000  2 Te 2.75, 2 Tl 2.75, 2 Pt 2.94
Te1 0.5000 0.5000 0.0000  4 Pt 2.75, 2 Te 2.94

In meV per atom, relative to the most stable structure: run a 155; run b 0; run c 78.